A plane-wave DFT calculation with PBE was carried out for an optimized crystal structure of Ba5Sn5Pb2.

The structure in POSCAR format:
```
Ba5Sn5Pb2
1.0
5.159 0.000 1.270
2.486 8.689 1.013
0.163 -0.096 10.450
Sn Ba Pb
5 5 2
Cartesian
6.916 6.911 5.245
0.000 0.000 0.000
4.699 2.530 3.139
3.110 6.063 9.595
0.892 1.682 7.488
6.053 8.039 8.753
4.910 6.160 2.283
2.899 2.433 10.450
3.904 4.296 6.367
1.756 0.554 3.980
1.914 4.020 3.339
5.895 4.573 9.394
```

Computed properties:
N(E_F)	0.4306	states/eV per atom
space-group type	C2/m (12)
energy of formation	-0.5156	eV per atom

***

A plane-wave DFT calculation with PBE was carried out for an optimized crystal structure of Zr2MnP.

The structure in POSCAR format:
```
Zr2MnP
1.0
4.047 -1.565 2.033
0.440 2.939 3.759
-3.834 -2.608 -1.208
P Mn Zr
1 1 2
Cartesian
0.000 0.000 0.000
2.244 0.687 2.896
1.228 -1.743 1.860
-0.575 0.509 2.723
```

Computed properties:
N(E_F)	1.0867	states/eV per atom
space-group type	I4/mmm (139)
energy of formation	-0.3199	eV per atom

***

A plane-wave DFT calculation with PBE was carried out for an optimized crystal structure of SrAlAs2Br.

The structure in POSCAR format:
```
SrAlAs2Br
1.0
-4.275 -0.357 -2.192
-1.090 -3.805 2.745
-2.304 3.491 3.924
Sr As Br Al
1 2 1 1
Cartesian
-3.834 -0.336 2.239
-2.137 -0.178 -1.096
-0.545 -1.903 1.373
-1.152 1.745 1.962
0.000 0.000 0.000
```

Computed properties:
N(E_F)	0.4681	states/eV per atom
space-group type	P4/mmm (123)
distance to the lowest polymorph of the same formula	0.000	eV/atom
formation energy without anion corrections	-2.71	eV per formula unit

***

A plane-wave DFT calculation with PBE was carried out for an optimized crystal structure of PmMgZn2Au2.

The structure in POSCAR format:
```
PmMgZn2Au2
1.0
-0.641 -2.997 3.344
-0.922 -1.155 -4.289
6.340 -2.213 -0.767
Pm Au Zn Mg
1 2 2 1
Cartesian
0.000 0.000 0.000
0.932 -2.384 -1.957
3.845 -3.981 0.246
3.652 -3.333 -2.286
1.124 -3.032 0.575
3.170 -1.106 -0.383
```

Computed properties:
N(E_F)	0.5690	states/eV per atom
space-group type	P-3m1 (164)
energy of formation	-0.5543	eV per atom

***

A plane-wave DFT calculation with PBE was carried out for an optimized crystal structure of Ac5Ag4O.

The structure in POSCAR format:
```
Ac5Ag4O
1.0
-3.291 -2.809 3.852
-5.421 -4.298 -3.408
2.865 -6.945 1.740
Ac Ag O
5 4 1
Cartesian
-2.125 -5.126 3.167
-3.550 -3.914 -1.522
-1.649 -1.407 1.930
-2.303 -10.143 3.714
-3.728 -8.931 -0.976
-0.933 -4.592 0.219
-1.731 -7.856 1.513
-4.122 -6.201 0.678
-4.920 -9.465 1.972
-0.005 -0.004 0.006
```

Computed properties:
N(E_F)	0.7624	states/eV per atom
space-group type	I4/m (87)
formation energy without anion corrections	-5.92	eV per formula unit

***

A plane-wave DFT calculation with PBE was carried out for an optimized crystal structure of PrSm2Y6Er.

The structure in POSCAR format:
```
PrSm2Y6Er
1.0
9.257 -2.075 -2.154
0.738 8.563 -1.990
0.738 -2.306 8.483
Y Sm Pr Er
12 4 2 2
Cartesian
8.765 -0.473 1.824
1.169 -0.789 5.954
1.968 4.655 2.516
2.142 4.453 -1.393
5.798 4.941 -1.645
4.935 -0.759 5.985
6.597 1.304 3.669
9.564 4.972 -1.613
6.770 -2.594 3.322
4.136 2.878 0.671
3.962 6.776 1.018
8.591 -0.271 5.733
5.313 4.318 3.381
0.791 2.001 0.976
9.942 2.181 3.364
5.420 -0.136 0.959
3.052 7.816 -2.309
7.681 -3.634 6.649
7.681 2.570 0.671
3.052 1.612 3.669
```

Computed properties:
N(E_F)	1.4871	states/eV per atom
space-group type	C2/c (15)
energy of formation	0.1132	eV per atom

***

A plane-wave DFT calculation with PBE was carried out for an optimized crystal structure of V2Zn2In.

The structure in POSCAR format:
```
V2Zn2In
1.0
3.778 0.000 0.000
0.000 3.778 0.000
1.889 1.889 5.978
Zn V In
2 2 1
Cartesian
3.778 1.889 2.989
1.889 3.778 2.989
1.889 1.889 1.011
3.778 3.778 4.966
0.000 0.000 0.000
```

Computed properties:
N(E_F)	0.6546	states/eV per atom
space-group type	I4/mmm (139)
energy of formation	0.3536	eV per atom

***

A plane-wave DFT calculation with PBE was carried out for an optimized crystal structure of SrGd2Pt.

The structure in POSCAR format:
```
SrGd2Pt
1.0
-2.475 -1.330 2.298
0.170 -3.215 -1.677
7.039 -2.750 5.989
Sr Gd Pt
1 2 1
Cartesian
2.367 -3.647 3.305
5.862 -2.291 4.988
1.176 -0.460 1.001
-1.152 -2.272 0.311
```

Computed properties:
N(E_F)	1.5060	states/eV per atom
space-group type	P4/mmm (123)
distance to the lowest polymorph of the same formula	0.033	eV/atom
energy of formation	-0.5125	eV per atom